This record from the Alexandria database describes a geometry-optimized PaGa3Br2Cl6 structure. The functional is PBE-GGA.

a = 15.5873 Å, b = 8.7060 Å, c = 6.3255 Å
α = 90.00°, β = 93.31°, γ = 90.00°
Last column: nearest neighbours and their distance in Å.
Space group C2/m (No. 12)
Asymmetric unit:
Pa 0.0000 0.0000 0.0000  6 Cl 2.57
Ga 0.0000 0.5000 0.5000  2 Br 2.93
Ga 0.2500 0.2500 0.0000  2 Br 2.98, 4 Cl 3.14-3.18
Br 0.1656 0.5000 0.7437  3 Ga 2.93-2.98
Cl 0.0750 0.2086 0.2296  1 Pa 2.57
Cl 0.1318 0.0000 0.7736  1 Pa 2.57

Computed properties:
final energy: -3.95 eV per atom
formation energy without anion corrections: -1.20 eV per atom
density: 3.15 g/cm3

This record from the Alexandria database describes a geometry-optimized LiSnBi2O structure. The functional is PBE-GGA.

a = 4.9558 Å, b = 4.9558 Å, c = 5.0091 Å
α = 90.00°, β = 90.00°, γ = 90.00°
Last column: nearest neighbours and their distance in Å.
Space group P4/mmm (No. 123)
Asymmetric unit:
Li 0.0000 0.0000 0.0000  4 Bi 2.48, 2 Sn 2.50
Sn 0.0000 0.0000 0.5000  2 Li 2.50
Bi 0.0000 0.5000 0.0000  2 Li 2.48
O 0.5000 0.5000 0.5000  4 Sn 3.50, 8 Bi 3.52

Computed properties:
final energy: -3.19 eV per atom
formation energy without anion corrections: 0.54 eV per atom
density: 7.55 g/cm3

Q: Look up the final energy of the second one.
A: -3.19 eV per atom